No. 1
Below is a relaxed Pr2Tm2Tl crystal, with properties calculated at the GGA-PBE level.

```
Pr2Tm2Tl
1.0
5.509 0.000 0.000
-2.754 6.115 0.091
0.000 -2.698 9.246
Pr Tm Tl
4 4 2
direct
0.978 0.956 0.661
0.162 0.324 0.052
0.022 0.044 0.339
0.838 0.676 0.948
0.353 0.706 0.445
0.479 0.958 0.157
0.647 0.294 0.555
0.521 0.042 0.843
0.745 0.489 0.274
0.255 0.511 0.726
```

**E**: -4.272 eV per atom
**Magnetic moment**: 0.0 μB/cell
**Excess energy over the best structure of this formula in the dataset**: 0 meV per atom

No. 2
Below is a relaxed PrTm6Tl4 crystal, with properties calculated at the GGA-PBE level.

```
PrTm6Tl4
1.0
-2.185 -2.782 1.258
7.696 -6.307 -0.578
-1.647 5.096 8.407
Pr Tm Tl
1 6 4
direct
0.000 0.000 0.000
0.000 0.538 0.076
0.500 0.617 0.808
0.000 0.538 0.462
0.000 0.924 0.462
0.500 0.192 0.808
0.500 0.192 0.383
0.500 0.834 0.669
0.500 0.331 0.166
0.500 0.834 0.166
0.000 0.333 0.667
```

**E**: -3.951 eV per atom
**Magnetic moment**: 2.5 μB/cell

No. 3
Below is a relaxed PrTm2Tl crystal, with properties calculated at the GGA-PBE level.

```
PrTm2Tl
1.0
-1.543 4.296 -3.024
-3.306 -0.728 -4.304
-5.179 1.768 0.196
Pr Tl Tm
1 1 2
direct
0.000 0.000 0.000
0.500 0.500 0.500
0.250 0.250 0.250
0.750 0.750 0.750
```

**E**: -3.996 eV per atom
**Magnetic moment**: 1.9 μB/cell
**Excess energy over the best structure of this formula in the dataset**: 196 meV per atom

No. 4
Below is a relaxed Pr2Tm2Tl7 crystal, with properties calculated at the GGA-PBE level.

```
Pr2Tm2Tl7
1.0
7.280 -0.003 -0.403
0.003 6.945 0.003
-0.856 -0.003 7.241
Pr Tm Tl
2 2 7
direct
0.814 0.500 0.814
0.186 0.500 0.186
0.717 0.000 0.283
0.283 0.000 0.717
0.000 0.276 0.500
0.500 0.724 0.000
0.000 0.724 0.500
0.500 0.276 0.000
0.000 0.000 0.000
0.500 0.721 0.500
0.500 0.279 0.500
```

**E**: -3.129 eV per atom
**Magnetic moment**: 0.0 μB/cell

No. 5
Below is a relaxed PrTm2Tl crystal, with properties calculated at the GGA-PBE level.

```
PrTm2Tl
1.0
3.598 0.000 0.000
1.799 3.116 0.000
1.799 1.039 10.962
Pr Tm Tl
1 2 1
direct
0.500 0.500 0.500
0.077 0.077 0.769
0.257 0.257 0.230
0.666 0.666 0.001
```

**E**: -4.111 eV per atom
**Magnetic moment**: 0.0 μB/cell
**Excess energy over the best structure of this formula in the dataset**: 81 meV per atom

No. 6
Below is a relaxed PrTm4Tl5 crystal, with properties calculated at the GGA-PBE level.

```
PrTm4Tl5
1.0
3.729 0.000 0.000
0.000 3.729 0.000
0.000 0.000 19.584
Pr Tm Tl
1 4 5
direct
0.000 0.000 0.000
0.000 0.000 0.208
0.000 0.000 0.403
0.000 0.000 0.597
0.000 0.000 0.792
0.500 0.500 0.111
0.500 0.500 0.306
0.500 0.500 0.500
0.500 0.500 0.694
0.500 0.500 0.889
```

**E**: -3.766 eV per atom
**Magnetic moment**: 0.0 μB/cell

No. 7
Below is a relaxed PrTmTl crystal, with properties calculated at the GGA-PBE level.

```
PrTmTl
1.0
-2.391 -1.624 2.245
-2.208 -0.676 -2.840
5.426 -4.842 -0.708
Pr Tl Tm
1 1 1
direct
0.610 0.610 0.219
0.943 0.943 0.886
0.298 0.298 0.595
```

**E**: -4.085 eV per atom
**Magnetic moment**: 0.0 μB/cell
**Excess energy over the best structure of this formula in the dataset**: 35 meV per atom

No. 8
Below is a relaxed PrTmTl crystal, with properties calculated at the GGA-PBE level.

```
PrTmTl
1.0
-1.047 0.553 -3.629
1.828 -4.807 -1.261
-5.030 0.599 1.542
Pr Tl Tm
1 1 1
direct
0.674 0.333 0.667
0.138 0.000 0.000
0.188 0.667 0.333
```

**E**: -4.043 eV per atom
**Magnetic moment**: 0.0 μB/cell
**Excess energy over the best structure of this formula in the dataset**: 77 meV per atom

No. 9
Below is a relaxed Pr2Tm5Tl4 crystal, with properties calculated at the GGA-PBE level.

```
Pr2Tm5Tl4
1.0
-2.718 1.925 1.060
-5.265 -6.108 -2.409
4.721 -2.733 11.311
Pr Tm Tl
2 5 4
direct
0.266 0.266 0.533
0.734 0.734 0.467
0.867 0.062 0.735
0.867 0.673 0.735
0.133 0.327 0.265
0.133 0.938 0.265
0.500 0.000 0.000
0.000 0.311 0.000
0.596 0.596 0.193
0.000 0.689 0.000
0.404 0.404 0.807
```

**E**: -3.689 eV per atom
**Magnetic moment**: 0.4 μB/cell

No. 10
Below is a relaxed PrTmTl crystal, with properties calculated at the GGA-PBE level.

```
PrTmTl
1.0
-0.329 -0.323 5.448
3.666 -3.027 -2.700
4.589 5.044 0.576
Pr Tm Tl
2 2 2
direct
0.000 0.500 0.000
0.000 0.500 0.500
0.667 0.833 0.750
0.333 0.167 0.250
0.333 0.167 0.750
0.667 0.833 0.250
```

**E**: -4.119 eV per atom
**Magnetic moment**: 0.0 μB/cell
**Excess energy over the best structure of this formula in the dataset**: 0 meV per atom

No. 11
Below is a relaxed Pr3TmTl3 crystal, with properties calculated at the GGA-PBE level.

```
Pr3TmTl3
1.0
-2.038 -1.833 6.347
1.378 -5.990 -3.163
9.223 0.785 2.969
Pr Tm Tl
6 2 6
direct
0.594 0.594 0.317
0.180 0.820 0.500
0.820 0.180 0.500
0.243 0.757 0.000
0.757 0.243 0.000
0.406 0.406 0.683
0.724 0.724 0.955
0.276 0.276 0.045
0.968 0.968 0.227
0.942 0.525 0.736
0.525 0.942 0.736
0.058 0.475 0.264
0.475 0.058 0.264
0.032 0.032 0.773
```

**E**: -3.913 eV per atom
**Magnetic moment**: 0.0 μB/cell

No. 12
Below is a relaxed Pr3Tm12Tl crystal, with properties calculated at the GGA-PBE level.

```
Pr3Tm12Tl
1.0
4.947 0.000 0.000
0.000 4.947 0.000
0.000 0.000 19.996
Pr Tm Tl
3 12 1
direct
0.000 0.000 0.248
0.000 0.000 0.500
0.000 0.000 0.752
0.500 0.500 0.000
0.500 0.500 0.243
0.500 0.500 0.500
0.500 0.500 0.757
0.500 0.000 0.120
0.500 0.000 0.373
0.500 0.000 0.627
0.500 0.000 0.880
0.000 0.500 0.120
0.000 0.500 0.373
0.000 0.500 0.627
0.000 0.500 0.880
0.000 0.000 0.000
```

**E**: -4.407 eV per atom
**Magnetic moment**: 0.1 μB/cell

No. 13
Below is a relaxed PrTmTl crystal, with properties calculated at the GGA-PBE level.

```
PrTmTl
1.0
-4.440 -0.161 -1.987
-0.226 -6.876 1.062
-2.808 1.697 6.139
Tl Tm Pr
2 2 2
direct
0.000 0.000 0.000
0.500 0.500 0.500
0.000 0.688 0.688
0.000 0.312 0.312
0.500 0.196 0.804
0.500 0.804 0.196
```

**E**: -3.653 eV per atom
**Magnetic moment**: 1.9 μB/cell
**Excess energy over the best structure of this formula in the dataset**: 467 meV per atom

No. 14
Below is a relaxed PrTm8Tl2 crystal, with properties calculated at the GGA-PBE level.

```
PrTm8Tl2
1.0
-0.292 1.959 -4.892
-8.332 4.649 2.877
-2.938 8.580 4.129
Pr Tm Tl
1 8 2
direct
0.000 0.000 0.000
0.268 0.127 0.607
0.268 0.607 0.127
0.732 0.873 0.393
0.240 0.548 0.548
0.732 0.393 0.873
0.236 0.197 0.197
0.764 0.803 0.803
0.760 0.452 0.452
0.753 0.286 0.286
0.247 0.714 0.714
```

**E**: -4.107 eV per atom
**Magnetic moment**: 0.0 μB/cell

No. 15
Below is a relaxed Pr5Tm4Tl crystal, with properties calculated at the GGA-PBE level.

```
Pr5Tm4Tl
1.0
-2.286 -1.390 3.198
3.423 -1.627 1.739
2.997 16.066 9.126
Pr Tm Tl
5 4 1
direct
0.500 0.500 0.093
0.500 0.500 0.296
0.500 0.500 0.500
0.500 0.500 0.704
0.500 0.500 0.907
0.000 0.000 0.196
0.000 0.000 0.398
0.000 0.000 0.602
0.000 0.000 0.804
0.000 0.000 0.000
```

**E**: -4.414 eV per atom
**Magnetic moment**: 0.0 μB/cell

No. 16
Below is a relaxed Pr7Tm2Tl2 crystal, with properties calculated at the GGA-PBE level.

```
Pr7Tm2Tl2
1.0
3.783 0.000 0.000
1.891 10.589 -0.189
1.891 4.854 9.412
Pr Tm Tl
7 2 2
direct
0.834 0.027 0.306
0.852 0.455 0.842
0.500 0.044 0.956
0.649 0.442 0.260
0.351 0.740 0.558
0.166 0.694 0.973
0.148 0.158 0.545
0.000 0.703 0.297
0.500 0.415 0.585
0.699 0.889 0.713
0.301 0.287 0.111
```

**E**: -4.308 eV per atom
**Magnetic moment**: 0.0 μB/cell

No. 17
Below is a relaxed Pr2Tm3Tl3 crystal, with properties calculated at the GGA-PBE level.

```
Pr2Tm3Tl3
1.0
4.949 0.000 0.000
0.000 5.055 0.000
0.000 0.000 9.232
Pr Tm Tl
2 3 3
direct
0.000 0.000 0.746
0.000 0.000 0.254
0.500 0.500 0.729
0.500 0.500 0.271
0.500 0.000 0.000
0.500 0.000 0.500
0.000 0.500 0.000
0.000 0.500 0.500
```

**E**: -3.990 eV per atom
**Magnetic moment**: 0.0 μB/cell

No. 18
Below is a relaxed PrTm3Tl crystal, with properties calculated at the GGA-PBE level.

```
PrTm3Tl
1.0
-2.585 -3.886 1.351
1.400 0.651 4.551
-11.379 5.476 2.717
Pr Tm Tl
2 6 2
direct
0.471 0.750 0.706
0.177 0.250 0.294
0.774 0.250 0.101
0.369 0.250 0.909
0.575 0.250 0.498
0.279 0.750 0.091
0.874 0.750 0.899
0.073 0.750 0.502
0.670 0.750 0.308
0.978 0.250 0.692
```

**E**: -4.213 eV per atom
**Magnetic moment**: 0.0 μB/cell
**Excess energy over the best structure of this formula in the dataset**: 0 meV per atom

No. 19
Below is a relaxed Pr6TmTl6 crystal, with properties calculated at the GGA-PBE level.

```
Pr6TmTl6
1.0
-6.282 -2.337 -0.078
3.782 -1.545 5.314
-3.285 8.669 4.858
Pr Tm Tl
6 1 6
direct
0.000 0.500 0.781
0.500 0.000 0.781
0.500 0.500 0.693
0.500 0.000 0.219
0.000 0.500 0.219
0.500 0.500 0.307
0.000 0.000 0.000
0.000 0.000 0.697
0.000 0.000 0.303
0.372 0.628 0.000
0.628 0.372 0.000
0.242 0.758 0.500
0.758 0.242 0.500
```

**E**: -3.768 eV per atom
**Magnetic moment**: 0.0 μB/cell

No. 20
Below is a relaxed PrTmTl4 crystal, with properties calculated at the GGA-PBE level.

```
PrTmTl4
1.0
-0.049 4.765 1.891
-5.101 -0.250 0.500
0.816 -2.761 6.986
Pr Tm Tl
1 1 4
direct
0.501 0.497 0.998
0.001 0.997 0.498
0.501 0.997 0.267
0.501 0.998 0.729
0.001 0.497 0.729
0.001 0.497 0.268
```

**E**: -3.133 eV per atom
**Magnetic moment**: 0.0 μB/cell

No. 21
Below is a relaxed Pr6TmTl crystal, with properties calculated at the GGA-PBE level.

```
Pr6TmTl
1.0
-0.466 4.976 0.852
-4.964 -0.297 -0.984
-1.875 -1.894 10.036
Pr Tm Tl
6 1 1
direct
0.500 0.500 0.000
0.500 0.500 0.500
0.500 0.000 0.246
0.500 0.000 0.754
0.000 0.500 0.246
0.000 0.500 0.754
0.000 0.000 0.500
0.000 0.000 0.000
```

**E**: -4.528 eV per atom
**Magnetic moment**: 0.0 μB/cell

No. 22
Below is a relaxed PrTm5Tl2 crystal, with properties calculated at the GGA-PBE level.

```
PrTm5Tl2
1.0
3.655 0.000 0.000
1.828 8.149 -0.401
1.828 2.070 7.892
Pr Tm Tl
1 5 2
direct
0.000 0.000 0.000
0.000 0.500 0.500
0.634 0.592 0.140
0.366 0.408 0.860
0.366 0.860 0.408
0.634 0.140 0.592
0.742 0.758 0.758
0.258 0.242 0.242
```

**E**: -4.109 eV per atom
**Magnetic moment**: 0.0 μB/cell

No. 23
Below is a relaxed PrTmTl2 crystal, with properties calculated at the GGA-PBE level.

```
PrTmTl2
1.0
3.825 0.000 0.000
0.000 3.825 0.000
0.000 0.000 7.734
Pr Tl Tm
1 2 1
direct
0.500 0.500 0.500
0.000 0.000 0.768
0.000 0.000 0.232
0.500 0.500 0.000
```

**E**: -3.850 eV per atom
**Magnetic moment**: 0.0 μB/cell
**Excess energy over the best structure of this formula in the dataset**: 0 meV per atom

No. 24
Below is a relaxed Pr3Tm2Tl6 crystal, with properties calculated at the GGA-PBE level.

```
Pr3Tm2Tl6
1.0
4.868 0.000 0.000
0.000 4.868 0.000
-2.434 -2.434 14.470
Pr Tm Tl
3 2 6
direct
0.000 0.000 0.000
0.802 0.802 0.605
0.198 0.198 0.395
0.446 0.446 0.892
0.554 0.554 0.108
0.115 0.615 0.230
0.615 0.115 0.230
0.885 0.385 0.770
0.385 0.885 0.770
0.693 0.693 0.385
0.307 0.307 0.615
```

**E**: -3.536 eV per atom
**Magnetic moment**: 0.0 μB/cell

For each record above, in turn, the calculated energy of formation values are -0.099 -0.217 0.026 0.059 -0.089 -0.316 -0.212 -0.170 0.073 -0.247 -0.212 -0.010 0.220 0.010 0.001 -0.023 -0.231 -0.101 -0.126 -0.013 -0.089 -0.125 -0.354 -0.128 eV/atom.